Record 1
An optimized crystal structure of SrTcO3, computed with PBE.

abc: 5.615 7.951 5.643
angles: 90.00 90.00 90.00
Fractional coordinates of all 20 atoms:
Sr (0.012, 0.250, 0.002)
Sr (0.488, 0.750, 0.502)
Sr (0.512, 0.250, 0.498)
Sr (0.988, 0.750, 0.998)
Tc (0.000, 0.000, 0.500)
Tc (0.000, 0.500, 0.500)
Tc (0.500, 0.000, 0.000)
Tc (0.500, 0.500, 0.000)
O (0.002, 0.750, 0.452)
O (0.233, 0.525, 0.767)
O (0.233, 0.975, 0.767)
O (0.267, 0.025, 0.267)
O (0.267, 0.475, 0.267)
O (0.498, 0.250, 0.952)
O (0.502, 0.750, 0.048)
O (0.733, 0.525, 0.733)
O (0.733, 0.975, 0.733)
O (0.767, 0.025, 0.233)
O (0.767, 0.475, 0.233)
O (0.998, 0.250, 0.548)

Computed properties:
Space-group type   No. 62
ΔE_f (raw)   -196 kJ per mole of atoms
Raw total energy   -7.420 eV per atom
Calculated density   6.16 Mg/m³
Total magnetic moment   2.044 μB/cell


Record 2
An optimized crystal structure of Ta2SiOs, computed with PBE.

abc: 4.458 4.458 4.458
angles: 60.00 60.00 60.00
Fractional coordinates of all 4 atoms:
Ta (0.000, 0.000, 0.000)
Ta (0.250, 0.250, 0.250)
Si (0.750, 0.750, 0.750)
Os (0.500, 0.500, 0.500)

Computed properties:
Space-group type   No. 216
ΔE_f (raw)   -3 kJ per mole of atoms
Raw total energy   -10.121 eV per atom
Calculated density   15.38 Mg/m³
Total magnetic moment   0.000 μB/cell


Record 3
An optimized crystal structure of RbHfTl, computed with PBE.

abc: 3.268 6.995 9.149
angles: 70.37 89.39 76.79
Fractional coordinates of all 6 atoms:
Rb (0.130, 0.199, 0.105)
Rb (0.870, 0.801, 0.895)
Hf (0.160, 0.184, 0.505)
Hf (0.840, 0.816, 0.495)
Tl (0.463, 0.586, 0.304)
Tl (0.537, 0.414, 0.696)

Computed properties:
Polymorph energy (0 for the lowest one)   0.192 eV/atom
Space-group type   No. 2
ΔE_f   32 kJ/mol of atoms
Raw total energy   -4.098 eV per atom
Calculated density   8.13 Mg/m³
Total magnetic moment   0.000 μB/cell


Record 4
An optimized crystal structure of BiP2HAu, computed with PBE.

abc: 5.543 5.543 5.523
angles: 90.00 90.00 90.00
Fractional coordinates of all 5 atoms:
Bi (0.000, 0.000, 0.000)
P (0.000, 0.500, 0.000)
P (0.500, 0.000, 0.000)
H (0.500, 0.500, 0.500)
Au (0.000, 0.000, 0.500)

Computed properties:
Space-group type   No. 123
Raw total energy   -2.688 eV per atom
Calculated density   4.59 Mg/m³
Total magnetic moment   4.283 μB/cell


Record 5
An optimized crystal structure of DyGaSi, computed with PBE.

abc: 4.359 5.721 5.787
angles: 113.00 90.06 112.38
Fractional coordinates of all 6 atoms:
Dy (0.191, 0.382, 0.229)
Dy (0.809, 0.618, 0.771)
Ga (0.491, 0.982, 0.223)
Ga (0.509, 0.018, 0.777)
Si (0.108, 0.215, 0.680)
Si (0.892, 0.785, 0.320)

Computed properties:
Space-group type   No. 2
ΔE_f (raw)   -52 kJ per mole of atoms
Raw total energy   -4.887 eV per atom
Calculated density   7.15 Mg/m³
Total magnetic moment   0.000 μB/cell


Record 6
An optimized crystal structure of CaCr2In, computed with PBE.

abc: 2.792 2.792 9.234
angles: 90.00 90.00 91.01
Fractional coordinates of all 4 atoms:
Ca (0.000, 0.000, 0.000)
Cr (0.500, 0.500, 0.272)
Cr (0.500, 0.500, 0.728)
In (0.000, 0.000, 0.500)

Computed properties:
Space-group type   No. 65
ΔE_f   93 kJ/mol of atoms
Raw total energy   -5.036 eV per atom
Calculated density   5.97 Mg/m³
Total magnetic moment   0.000 μB/cell


Record 7
An optimized crystal structure of TcOs, computed with PBE.

abc: 3.247 3.247 5.659
angles: 90.00 90.00 90.00
Fractional coordinates of all 4 atoms:
Tc (0.250, 0.250, 0.131)
Tc (0.750, 0.750, 0.869)
Os (0.250, 0.250, 0.609)
Os (0.750, 0.750, 0.391)

Computed properties:
Polymorph energy (0 for the lowest one)   0.575 eV/atom
Space-group type   No. 129
ΔE_f   47 kJ/mol of atoms
Raw total energy   -10.308 eV per atom
Calculated density   16.04 Mg/m³
Total magnetic moment   0.688 μB/cell


Record 8
An optimized crystal structure of RbCoAs, computed with PBE.

abc: 6.663 6.663 5.997
angles: 106.48 106.48 41.85
Fractional coordinates of all 6 atoms:
Rb (0.117, 0.117, 0.388)
Rb (0.883, 0.883, 0.612)
Co (0.000, 0.500, 0.000)
Co (0.500, 0.000, 0.000)
As (0.416, 0.416, 0.111)
As (0.584, 0.584, 0.889)

Computed properties:
Space-group type   No. 12
ΔE_f   8 kJ/mol of atoms
Raw total energy   -4.161 eV per atom
Calculated density   4.30 Mg/m³
Total magnetic moment   2.958 μB/cell


Record 9
An optimized crystal structure of La2GaSe, computed with PBE.

abc: 5.335 5.335 5.335
angles: 60.00 60.00 60.00
Fractional coordinates of all 4 atoms:
La (0.250, 0.250, 0.250)
La (0.750, 0.750, 0.750)
Ga (0.000, 0.000, 0.000)
Se (0.500, 0.500, 0.500)

Computed properties:
Polymorph energy (0 for the lowest one)   0.376 eV/atom
Space-group type   No. 225
ΔE_f (raw)   -88 kJ per mole of atoms
Raw total energy   -5.008 eV per atom
Calculated density   6.60 Mg/m³
Total magnetic moment   0.000 μB/cell


Record 10
An optimized crystal structure of K2Tl2Hg4Pd, computed with PBE.

abc: 7.140 7.140 7.140
angles: 116.63 116.63 95.94
Fractional coordinates of all 9 atoms:
K (0.250, 0.750, 0.500)
K (0.750, 0.250, 0.500)
Tl (0.208, 0.208, 0.000)
Tl (0.792, 0.792, 0.000)
Hg (0.239, 0.239, 0.479)
Hg (0.239, 0.761, 0.000)
Hg (0.761, 0.239, 0.000)
Hg (0.761, 0.761, 0.521)
Pd (0.500, 0.500, 0.000)

Computed properties:
Space-group type   No. 139
ΔE_f   -16 kJ/mol of atoms
Raw total energy   -1.646 eV per atom
Calculated density   8.62 Mg/m³
Total magnetic moment   0.000 μB/cell


Record 11
An optimized crystal structure of NbAgF3, computed with PBE.

abc: 4.299 4.299 4.299
angles: 90.00 90.00 90.00
Fractional coordinates of all 5 atoms:
Nb (0.000, 0.000, 0.000)
Ag (0.500, 0.500, 0.500)
F (0.000, 0.000, 0.500)
F (0.000, 0.500, 0.000)
F (0.500, 0.000, 0.000)

Computed properties:
Polymorph energy (0 for the lowest one)   0.000 eV/atom
Space-group type   No. 221
ΔE_f (raw)   -154 kJ per mole of atoms
Raw total energy   -5.304 eV per atom
Calculated density   5.39 Mg/m³
Total magnetic moment   2.298 μB/cell


Record 12
An optimized crystal structure of Ho4ErCo, computed with PBE.

abc: 6.179 6.179 8.218
angles: 109.60 109.60 33.26
Fractional coordinates of all 6 atoms:
Ho (0.126, 0.126, 0.377)
Ho (0.169, 0.169, 0.794)
Ho (0.831, 0.831, 0.206)
Ho (0.874, 0.874, 0.623)
Er (0.500, 0.500, 0.000)
Co (0.500, 0.500, 0.500)

Computed properties:
Space-group type   No. 12
ΔE_f   -4 kJ/mol of atoms
Raw total energy   -5.037 eV per atom
Calculated density   9.12 Mg/m³
Total magnetic moment   0.003 μB/cell


Record 13
An optimized crystal structure of PuCuPb2, computed with PBE.

abc: 3.566 3.566 7.730
angles: 90.00 90.00 90.00
Fractional coordinates of all 4 atoms:
Pu (0.000, 0.000, 0.000)
Cu (0.000, 0.000, 0.500)
Pb (0.500, 0.500, 0.293)
Pb (0.500, 0.500, 0.707)

Computed properties:
Polymorph energy (0 for the lowest one)   0.059 eV/atom
Space-group type   No. 123
ΔE_f   10 kJ/mol of atoms
Raw total energy   -6.356 eV per atom
Calculated density   12.20 Mg/m³
Total magnetic moment   6.215 μB/cell


Record 14
An optimized crystal structure of Y2TaCo2, computed with PBE.

abc: 6.487 6.487 4.590
angles: 90.00 90.00 90.00
Fractional coordinates of all 10 atoms:
Y (0.181, 0.319, 0.000)
Y (0.319, 0.819, 0.000)
Y (0.681, 0.181, 0.000)
Y (0.819, 0.681, 0.000)
Ta (0.000, 0.000, 0.500)
Ta (0.500, 0.500, 0.500)
Co (0.126, 0.626, 0.500)
Co (0.374, 0.126, 0.500)
Co (0.626, 0.874, 0.500)
Co (0.874, 0.374, 0.500)

Computed properties:
Space-group type   No. 127
ΔE_f   -6 kJ/mol of atoms
Raw total energy   -7.861 eV per atom
Calculated density   8.19 Mg/m³
Total magnetic moment   0.000 μB/cell


Record 15
An optimized crystal structure of CdMo2Se, computed with PBE.

abc: 5.726 5.726 5.726
angles: 148.31 130.33 60.13
Fractional coordinates of all 4 atoms:
Cd (0.000, 0.000, 0.000)
Mo (0.510, 0.510, 0.000)
Mo (0.704, 0.204, 0.500)
Se (0.281, 0.781, 0.500)

Computed properties:
Polymorph energy (0 for the lowest one)   0.257 eV/atom
Space-group type   No. 44
ΔE_f (raw)   39 kJ per mole of atoms
Raw total energy   -6.113 eV per atom
Calculated density   8.54 Mg/m³
Total magnetic moment   0.000 μB/cell


Record 16
An optimized crystal structure of NaSm2Sc, computed with PBE.

abc: 3.835 3.835 8.875
angles: 90.00 90.00 90.00
Fractional coordinates of all 4 atoms:
Na (0.000, 0.000, 0.000)
Sm (0.500, 0.500, 0.288)
Sm (0.500, 0.500, 0.712)
Sc (0.000, 0.000, 0.500)

Computed properties:
Polymorph energy (0 for the lowest one)   0.000 eV/atom
Space-group type   No. 123
ΔE_f   14 kJ/mol of atoms
Raw total energy   -4.132 eV per atom
Calculated density   4.69 Mg/m³
Total magnetic moment   0.000 μB/cell


Record 17
An optimized crystal structure of SiPbSe3, computed with PBE.

abc: 5.401 5.401 5.401
angles: 90.00 90.00 90.00
Fractional coordinates of all 5 atoms:
Si (0.000, 0.000, 0.000)
Pb (0.500, 0.500, 0.500)
Se (0.000, 0.500, 0.500)
Se (0.500, 0.000, 0.500)
Se (0.500, 0.500, 0.000)

Computed properties:
Polymorph energy (0 for the lowest one)   1.329 eV/atom
Space-group type   No. 221
ΔE_f (raw)   82 kJ per mole of atoms
Raw total energy   -3.065 eV per atom
Calculated density   4.98 Mg/m³
Total magnetic moment   0.000 μB/cell


Record 18
An optimized crystal structure of CrInPb3, computed with PBE.

abc: 5.256 5.256 5.256
angles: 90.00 90.00 90.00
Fractional coordinates of all 5 atoms:
Cr (0.000, 0.000, 0.000)
In (0.500, 0.500, 0.500)
Pb (0.000, 0.000, 0.500)
Pb (0.000, 0.500, 0.000)
Pb (0.500, 0.000, 0.000)

Computed properties:
Polymorph energy (0 for the lowest one)   0.000 eV/atom
Space-group type   No. 221
ΔE_f   40 kJ/mol of atoms
Raw total energy   -4.284 eV per atom
Calculated density   9.02 Mg/m³
Total magnetic moment   0.000 μB/cell


Record 19
An optimized crystal structure of Al2SbRu, computed with PBE.

abc: 4.438 4.438 3.491
angles: 90.00 90.00 90.00
Fractional coordinates of all 4 atoms:
Al (0.000, 0.500, 0.000)
Al (0.500, 0.000, 0.000)
Sb (0.000, 0.000, 0.500)
Ru (0.500, 0.500, 0.500)

Computed properties:
Space-group type   No. 123
ΔE_f (raw)   11 kJ per mole of atoms
Raw total energy   -5.108 eV per atom
Calculated density   6.68 Mg/m³
Total magnetic moment   0.249 μB/cell


Record 20
An optimized crystal structure of CaY2Mg, computed with PBE.

abc: 3.534 5.406 6.901
angles: 90.00 102.83 90.00
Fractional coordinates of all 4 atoms:
Ca (0.000, 0.000, 0.000)
Y (0.418, 0.500, 0.726)
Y (0.582, 0.500, 0.274)
Mg (0.000, 0.000, 0.500)

Computed properties:
Space-group type   No. 10
ΔE_f   9 kJ/mol of atoms
Raw total energy   -4.037 eV per atom
Calculated density   3.13 Mg/m³
Total magnetic moment   0.000 μB/cell


Record 21
An optimized crystal structure of Na2HfMnTe4, computed with PBE.

abc: 7.359 4.146 7.909
angles: 90.00 107.98 90.00
Fractional coordinates of all 8 atoms:
Na (0.000, 0.000, 0.000)
Na (0.500, 0.500, 0.000)
Hf (0.000, 0.500, 0.500)
Mn (0.500, 0.000, 0.500)
Te (0.235, 0.000, 0.721)
Te (0.265, 0.500, 0.291)
Te (0.735, 0.500, 0.709)
Te (0.765, 0.000, 0.279)

Computed properties:
Space-group type   No. 10
ΔE_f (raw)   -66 kJ per mole of atoms
Raw total energy   -4.979 eV per atom
Calculated density   5.71 Mg/m³
Total magnetic moment   4.941 μB/cell


Record 22
An optimized crystal structure of CdAg2Hg, computed with PBE.

abc: 7.294 7.294 7.294
angles: 31.10 31.10 31.10
Fractional coordinates of all 4 atoms:
Cd (0.000, 0.000, 0.000)
Ag (0.585, 0.585, 0.585)
Ag (0.748, 0.748, 0.748)
Hg (0.167, 0.167, 0.167)

Computed properties:
Polymorph energy (0 for the lowest one)   0.162 eV/atom
Space-group type   No. 160
ΔE_f   16 kJ/mol of atoms
Raw total energy   -1.562 eV per atom
Calculated density   9.56 Mg/m³
Total magnetic moment   0.000 μB/cell


Record 23
An optimized crystal structure of BeInRe2, computed with PBE.

abc: 5.182 5.182 2.752
angles: 100.43 100.43 117.69
Fractional coordinates of all 4 atoms:
Be (0.000, 0.000, 0.000)
In (0.500, 0.500, 0.000)
Re (0.000, 0.500, 0.500)
Re (0.500, 0.000, 0.500)

Computed properties:
Polymorph energy (0 for the lowest one)   0.525 eV/atom
Space-group type   No. 12
ΔE_f   59 kJ/mol of atoms
Raw total energy   -7.227 eV per atom
Calculated density   13.44 Mg/m³
Total magnetic moment   0.000 μB/cell


Record 24
An optimized crystal structure of AlPtO2, computed with PBE.

abc: 5.192 5.192 5.194
angles: 119.25 119.25 71.49
Fractional coordinates of all 8 atoms:
Al (0.147, 0.853, 0.500)
Al (0.853, 0.147, 0.000)
Pt (0.542, 0.666, 0.187)
Pt (0.666, 0.542, 0.687)
O (0.127, 0.894, 0.166)
O (0.507, 0.979, 0.819)
O (0.894, 0.127, 0.666)
O (0.979, 0.507, 0.319)

Computed properties:
Space-group type   No. 9
ΔE_f (raw)   -145 kJ per mole of atoms
Raw total energy   -6.432 eV per atom
Calculated density   7.96 Mg/m³
Total magnetic moment   0.001 μB/cell


Record 25
An optimized crystal structure of ReIrOs, computed with PBE.

abc: 2.743 2.743 6.726
angles: 90.00 90.00 120.00
Fractional coordinates of all 3 atoms:
Re (0.000, 0.000, 0.000)
Ir (0.667, 0.333, 0.336)
Os (0.333, 0.667, 0.678)

Computed properties:
Polymorph energy (0 for the lowest one)   0.038 eV/atom
Space-group type   No. 156
ΔE_f   -1 kJ/mol of atoms
Raw total energy   -10.855 eV per atom
Calculated density   21.54 Mg/m³
Total magnetic moment   0.000 μB/cell


Record 26
An optimized crystal structure of MnReNi2, computed with PBE.

abc: 4.515 4.515 4.361
angles: 100.48 100.48 34.22
Fractional coordinates of all 4 atoms:
Mn (0.000, 0.000, 0.000)
Re (0.500, 0.500, 0.500)
Ni (0.250, 0.250, 0.749)
Ni (0.750, 0.750, 0.251)

Computed properties:
Polymorph energy (0 for the lowest one)   0.057 eV/atom
Space-group type   No. 12
ΔE_f   6 kJ/mol of atoms
Raw total energy   -8.234 eV per atom
Calculated density   12.13 Mg/m³
Total magnetic moment   2.367 μB/cell


Record 27
An optimized crystal structure of Ba2Tl2Cu2HgO8, computed with PBE.

abc: 15.097 15.097 15.097
angles: 165.12 165.12 21.11
Fractional coordinates of all 15 atoms:
Ba (0.000, 0.000, 0.000)
Ba (0.252, 0.252, 0.000)
Tl (0.127, 0.127, 0.000)
Tl (0.842, 0.842, 0.000)
Cu (0.569, 0.569, 0.000)
Cu (0.682, 0.682, 0.000)
Hg (0.416, 0.416, 0.000)
O (0.077, 0.577, 0.500)
O (0.178, 0.678, 0.500)
O (0.343, 0.343, 0.000)
O (0.487, 0.487, 0.000)
O (0.577, 0.077, 0.500)
O (0.678, 0.178, 0.500)
O (0.772, 0.772, 0.000)
O (0.910, 0.910, 0.000)

Computed properties:
Space-group type   No. 107
ΔE_f (raw)   -108 kJ per mole of atoms
Raw total energy   -4.905 eV per atom
Calculated density   8.34 Mg/m³
Total magnetic moment   0.000 μB/cell